--- one ---
# PBE-GGA FeIr2Ru, relaxed
data_FeIr2Ru
_cell_length_a 2.713
_cell_length_b 2.713
_cell_length_c 7.480
_cell_angle_alpha 90.00
_cell_angle_beta 90.00
_cell_angle_gamma 90.00
_symmetry_space_group_name_H-M 'P 4/m m m'
_symmetry_Int_Tables_number 123
_symmetry_space_group_name_Hall '-P 4 2'
loop_
_atom_site_label
_atom_site_type_symbol
_atom_site_fract_x
_atom_site_fract_y
_atom_site_fract_z
Fe1 Fe 0.000 0.000 0.000
Ir1 Ir 0.500 0.500 0.245
Ru1 Ru 0.000 0.000 0.500
# DOS(E_F) = 3.48 states/eV/f.u.


--- two ---
# PBE-GGA FeIr2Ru, relaxed
data_FeIr2Ru
_cell_length_a 4.1484
_cell_length_b 4.1484
_cell_length_c 11.8994
_cell_angle_alpha 90.00
_cell_angle_beta 90.00
_cell_angle_gamma 120.00
_symmetry_space_group_name_H-M 'R 3 m'
_symmetry_Int_Tables_number 160
_symmetry_space_group_name_Hall 'R 3 -2"'
loop_
_atom_site_label
_atom_site_type_symbol
_atom_site_fract_x
_atom_site_fract_y
_atom_site_fract_z
Fe1 Fe 0.0000 0.0000 0.0000
Ir1 Ir 0.0000 0.0000 0.4375
Ir2 Ir 0.0000 0.0000 0.6583
Ru1 Ru 0.0000 0.0000 0.2189
# DOS(E_F) = 5.25 states/eV/f.u.


--- three ---
# PBE-GGA FeIr2Ru, relaxed
data_FeIr2Ru
_cell_length_a 2.7221
_cell_length_b 2.7221
_cell_length_c 25.9627
_cell_angle_alpha 90.00
_cell_angle_beta 90.00
_cell_angle_gamma 120.00
_symmetry_space_group_name_H-M 'R -3 m'
_symmetry_Int_Tables_number 166
_symmetry_space_group_name_Hall '-R 3 2"'
loop_
_atom_site_label
_atom_site_type_symbol
_atom_site_fract_x
_atom_site_fract_y
_atom_site_fract_z
Fe1 Fe 0.0000 0.0000 0.0000
Ir1 Ir 0.0000 0.0000 0.2517
Ru1 Ru 0.0000 0.0000 0.5000
# DOS(E_F) = 6.63 states/eV/f.u.


Which of them is most stable, and which least? Most stable: one; least stable: two.


--- one ---
# PBE-GGA FeIr2Ru, relaxed
data_FeIr2Ru
_cell_length_a 2.732
_cell_length_b 4.640
_cell_length_c 8.998
_cell_angle_alpha 90.00
_cell_angle_beta 90.00
_cell_angle_gamma 90.00
_symmetry_space_group_name_H-M 'C m m 2'
_symmetry_Int_Tables_number 35
_symmetry_space_group_name_Hall 'C 2 -2'
loop_
_atom_site_label
_atom_site_type_symbol
_atom_site_fract_x
_atom_site_fract_y
_atom_site_fract_z
Fe1 Fe 0.000 0.000 0.000
Ir1 Ir 0.000 0.000 0.495
Ir2 Ir 0.000 0.500 0.760
Ru1 Ru 0.000 0.500 0.239
# DOS(E_F) = 5.12 states/eV/f.u.


--- two ---
# PBE-GGA FeIr2Ru, relaxed
data_FeIr2Ru
_cell_length_a 2.778
_cell_length_b 4.426
_cell_length_c 9.120
_cell_angle_alpha 90.00
_cell_angle_beta 90.00
_cell_angle_gamma 90.00
_symmetry_space_group_name_H-M 'I m m 2'
_symmetry_Int_Tables_number 44
_symmetry_space_group_name_Hall 'I 2 -2'
loop_
_atom_site_label
_atom_site_type_symbol
_atom_site_fract_x
_atom_site_fract_y
_atom_site_fract_z
Fe1 Fe 0.000 0.000 0.000
Ir1 Ir 0.000 0.000 0.502
Ir2 Ir 0.000 0.500 0.726
Ru1 Ru 0.000 0.500 0.277
# DOS(E_F) = 5.03 states/eV/f.u.


Which of them is most stable, and which least? Most stable: two; least stable: one.


--- one ---
# PBE-GGA FeIr2Ru, relaxed
data_FeIr2Ru
_cell_length_a 8.943
_cell_length_b 2.705
_cell_length_c 4.646
_cell_angle_alpha 90.00
_cell_angle_beta 100.58
_cell_angle_gamma 90.00
_symmetry_space_group_name_H-M 'C 1 2/m 1'
_symmetry_Int_Tables_number 12
_symmetry_space_group_name_Hall '-C 2y'
loop_
_atom_site_label
_atom_site_type_symbol
_atom_site_fract_x
_atom_site_fract_y
_atom_site_fract_z
Fe1 Fe 0.000 0.000 0.000
Ir1 Ir 0.248 0.500 0.247
Ru1 Ru 0.000 0.500 0.500
# DOS(E_F) = 4.31 states/eV/f.u.


--- two ---
# PBE-GGA FeIr2Ru, relaxed
data_FeIr2Ru
_cell_length_a 2.752
_cell_length_b 4.538
_cell_length_c 4.568
_cell_angle_alpha 90.00
_cell_angle_beta 90.00
_cell_angle_gamma 90.00
_symmetry_space_group_name_H-M 'P m m m'
_symmetry_Int_Tables_number 47
_symmetry_space_group_name_Hall '-P 2 2'
loop_
_atom_site_label
_atom_site_type_symbol
_atom_site_fract_x
_atom_site_fract_y
_atom_site_fract_z
Fe1 Fe 0.000 0.000 0.000
Ir1 Ir 0.000 0.500 0.500
Ir2 Ir 0.500 0.500 0.000
Ru1 Ru 0.500 0.000 0.500
# DOS(E_F) = 5.44 states/eV/f.u.


Which of them is most stable, and which least? Most stable: one; least stable: two.


--- one ---
# PBE-GGA FeIr2Ru, relaxed
data_FeIr2Ru
_cell_length_a 2.717
_cell_length_b 3.763
_cell_length_c 5.391
_cell_angle_alpha 90.00
_cell_angle_beta 90.00
_cell_angle_gamma 90.00
_symmetry_space_group_name_H-M 'P m m m'
_symmetry_Int_Tables_number 47
_symmetry_space_group_name_Hall '-P 2 2'
loop_
_atom_site_label
_atom_site_type_symbol
_atom_site_fract_x
_atom_site_fract_y
_atom_site_fract_z
Fe1 Fe 0.000 0.000 0.000
Ir1 Ir 0.500 0.500 0.246
Ru1 Ru 0.000 0.000 0.500
# DOS(E_F) = 4.82 states/eV/f.u.


--- two ---
# PBE-GGA FeIr2Ru, relaxed
data_FeIr2Ru
_cell_length_a 5.388
_cell_length_b 7.549
_cell_length_c 2.714
_cell_angle_alpha 90.00
_cell_angle_beta 90.00
_cell_angle_gamma 90.00
_symmetry_space_group_name_H-M 'C m m m'
_symmetry_Int_Tables_number 65
_symmetry_space_group_name_Hall '-C 2 2'
loop_
_atom_site_label
_atom_site_type_symbol
_atom_site_fract_x
_atom_site_fract_y
_atom_site_fract_z
Fe1 Fe 0.000 0.000 0.000
Ir1 Ir 0.250 0.250 0.500
Ru1 Ru 0.000 0.500 0.000
# DOS(E_F) = 5.87 states/eV/f.u.


Which of them is most stable, and which least? Most stable: one; least stable: two.


--- one ---
# PBE-GGA FeIr2Ru, relaxed
data_FeIr2Ru
_cell_length_a 6.118
_cell_length_b 6.118
_cell_length_c 6.118
_cell_angle_alpha 90.00
_cell_angle_beta 90.00
_cell_angle_gamma 90.00
_symmetry_space_group_name_H-M 'F m -3 m'
_symmetry_Int_Tables_number 225
_symmetry_space_group_name_Hall '-F 4 2 3'
loop_
_atom_site_label
_atom_site_type_symbol
_atom_site_fract_x
_atom_site_fract_y
_atom_site_fract_z
Fe1 Fe 0.000 0.000 0.000
Ir1 Ir 0.250 0.250 0.250
Ru1 Ru 0.000 0.000 0.500
# DOS(E_F) = 7.49 states/eV/f.u.


--- two ---
# PBE-GGA FeIr2Ru, relaxed
data_FeIr2Ru
_cell_length_a 3.797
_cell_length_b 3.797
_cell_length_c 7.633
_cell_angle_alpha 90.00
_cell_angle_beta 90.00
_cell_angle_gamma 90.00
_symmetry_space_group_name_H-M 'I -4 m 2'
_symmetry_Int_Tables_number 119
_symmetry_space_group_name_Hall 'I -4 -2'
loop_
_atom_site_label
_atom_site_type_symbol
_atom_site_fract_x
_atom_site_fract_y
_atom_site_fract_z
Fe1 Fe 0.000 0.000 0.000
Ir1 Ir 0.000 0.000 0.500
Ir2 Ir 0.000 0.500 0.750
Ru1 Ru 0.000 0.500 0.250
# DOS(E_F) = 4.84 states/eV/f.u.


Which of them is most stable, and which least? Most stable: two; least stable: one.


--- one ---
# PBE-GGA FeIr4Ru2, relaxed
data_FeIr4Ru2
_cell_length_a 4.514
_cell_length_b 4.514
_cell_length_c 12.112
_cell_angle_alpha 90.00
_cell_angle_beta 90.00
_cell_angle_gamma 90.00
_symmetry_space_group_name_H-M 'I 4/m m m'
_symmetry_Int_Tables_number 139
_symmetry_space_group_name_Hall '-I 4 2'
loop_
_atom_site_label
_atom_site_type_symbol
_atom_site_fract_x
_atom_site_fract_y
_atom_site_fract_z
Fe1 Fe 0.000 0.000 0.000
Ir1 Ir 0.000 0.000 0.194
Ir2 Ir 0.000 0.500 0.000
Ru1 Ru 0.000 0.000 0.387
# DOS(E_F) = 11.17 states/eV/f.u.


--- two ---
# PBE-GGA FeIr4Ru2, relaxed
data_FeIr4Ru2
_cell_length_a 2.699
_cell_length_b 16.775
_cell_length_c 9.411
_cell_angle_alpha 90.00
_cell_angle_beta 90.00
_cell_angle_gamma 90.00
_symmetry_space_group_name_H-M 'C m c m'
_symmetry_Int_Tables_number 63
_symmetry_space_group_name_Hall '-C 2c 2'
loop_
_atom_site_label
_atom_site_type_symbol
_atom_site_fract_x
_atom_site_fract_y
_atom_site_fract_z
Fe1 Fe 0.000 0.125 0.250
Ir1 Ir 0.000 0.000 0.000
Ir2 Ir 0.000 0.265 0.614
Ir3 Ir 0.000 0.499 0.250
Ru1 Ru 0.000 0.370 0.110
# DOS(E_F) = 7.31 states/eV/f.u.


Which of them is most stable, and which least? Most stable: two; least stable: one.


--- one ---
# PBE-GGA FeIr3Ru, relaxed
data_FeIr3Ru
_cell_length_a 9.851
_cell_length_b 2.734
_cell_length_c 10.358
_cell_angle_alpha 90.00
_cell_angle_beta 93.41
_cell_angle_gamma 90.00
_symmetry_space_group_name_H-M 'C 1 2/m 1'
_symmetry_Int_Tables_number 12
_symmetry_space_group_name_Hall '-C 2y'
loop_
_atom_site_label
_atom_site_type_symbol
_atom_site_fract_x
_atom_site_fract_y
_atom_site_fract_z
Fe1 Fe 0.133 0.000 0.486
Ir1 Ir 0.033 0.500 0.675
Ir2 Ir 0.068 0.000 0.117
Ir3 Ir 0.235 0.500 0.290
Ru1 Ru 0.167 0.500 0.916
# DOS(E_F) = 5.50 states/eV/f.u.


--- two ---
# PBE-GGA FeIr3Ru, relaxed
data_FeIr3Ru
_cell_length_a 2.685
_cell_length_b 13.722
_cell_length_c 8.419
_cell_angle_alpha 90.00
_cell_angle_beta 90.00
_cell_angle_gamma 90.00
_symmetry_space_group_name_H-M 'C m c m'
_symmetry_Int_Tables_number 63
_symmetry_space_group_name_Hall '-C 2c 2'
loop_
_atom_site_label
_atom_site_type_symbol
_atom_site_fract_x
_atom_site_fract_y
_atom_site_fract_z
Fe1 Fe 0.000 0.227 0.250
Ir1 Ir 0.000 0.104 0.750
Ir2 Ir 0.000 0.335 0.510
Ru1 Ru 0.000 0.446 0.750
# DOS(E_F) = 6.28 states/eV/f.u.


Which of them is most stable, and which least? Most stable: one; least stable: two.


--- one ---
# PBE-GGA FeIrRu4, relaxed
data_FeIrRu4
_cell_length_a 2.722
_cell_length_b 4.281
_cell_length_c 7.161
_cell_angle_alpha 90.00
_cell_angle_beta 101.04
_cell_angle_gamma 90.00
_symmetry_space_group_name_H-M 'P 1 m 1'
_symmetry_Int_Tables_number 6
_symmetry_space_group_name_Hall 'P -2y'
loop_
_atom_site_label
_atom_site_type_symbol
_atom_site_fract_x
_atom_site_fract_y
_atom_site_fract_z
Fe1 Fe 0.000 0.000 0.000
Ir1 Ir 0.222 0.500 0.445
Ru1 Ru 0.337 0.000 0.674
Ru2 Ru 0.554 0.500 0.106
Ru3 Ru 0.665 0.000 0.331
Ru4 Ru 0.894 0.500 0.788
# DOS(E_F) = 5.82 states/eV/f.u.


--- two ---
# PBE-GGA FeIrRu4, relaxed
data_FeIrRu4
_cell_length_a 7.115
_cell_length_b 7.115
_cell_length_c 7.115
_cell_angle_alpha 90.00
_cell_angle_beta 90.00
_cell_angle_gamma 90.00
_symmetry_space_group_name_H-M 'F -4 3 m'
_symmetry_Int_Tables_number 216
_symmetry_space_group_name_Hall 'F -4 2 3'
loop_
_atom_site_label
_atom_site_type_symbol
_atom_site_fract_x
_atom_site_fract_y
_atom_site_fract_z
Fe1 Fe 0.000 0.000 0.000
Ir1 Ir 0.250 0.250 0.750
Ru1 Ru 0.125 0.125 0.375
# DOS(E_F) = 8.45 states/eV/f.u.


Which of them is most stable, and which least? Most stable: one; least stable: two.


--- one ---
# PBE-GGA FeIr4Ru, relaxed
data_FeIr4Ru
_cell_length_a 2.732
_cell_length_b 14.054
_cell_length_c 8.778
_cell_angle_alpha 90.00
_cell_angle_beta 90.00
_cell_angle_gamma 90.00
_symmetry_space_group_name_H-M 'C m c 21'
_symmetry_Int_Tables_number 36
_symmetry_space_group_name_Hall 'C 2c -2'
loop_
_atom_site_label
_atom_site_type_symbol
_atom_site_fract_x
_atom_site_fract_y
_atom_site_fract_z
Fe1 Fe 0.000 0.166 0.000
Ir1 Ir 0.000 0.057 0.246
Ir2 Ir 0.000 0.172 0.499
Ir3 Ir 0.000 0.386 0.254
Ir4 Ir 0.000 0.499 0.498
Ru1 Ru 0.000 0.278 0.749
# DOS(E_F) = 7.01 states/eV/f.u.


--- two ---
# PBE-GGA FeIr4Ru, relaxed
data_FeIr4Ru
_cell_length_a 7.236
_cell_length_b 7.236
_cell_length_c 7.236
_cell_angle_alpha 90.00
_cell_angle_beta 90.00
_cell_angle_gamma 90.00
_symmetry_space_group_name_H-M 'F -4 3 m'
_symmetry_Int_Tables_number 216
_symmetry_space_group_name_Hall 'F -4 2 3'
loop_
_atom_site_label
_atom_site_type_symbol
_atom_site_fract_x
_atom_site_fract_y
_atom_site_fract_z
Fe1 Fe 0.000 0.000 0.000
Ir1 Ir 0.125 0.125 0.375
Ru1 Ru 0.250 0.250 0.750
# DOS(E_F) = 7.39 states/eV/f.u.


Which of them is most stable, and which least? Most stable: one; least stable: two.


--- one ---
# PBE-GGA FeIr3Ru2, relaxed
data_FeIr3Ru2
_cell_length_a 5.199
_cell_length_b 14.419
_cell_length_c 4.620
_cell_angle_alpha 90.00
_cell_angle_beta 92.39
_cell_angle_gamma 90.00
_symmetry_space_group_name_H-M 'C 1 2/c 1'
_symmetry_Int_Tables_number 15
_symmetry_space_group_name_Hall '-C 2yc'
loop_
_atom_site_label
_atom_site_type_symbol
_atom_site_fract_x
_atom_site_fract_y
_atom_site_fract_z
Fe1 Fe 0.000 0.138 0.250
Ir1 Ir 0.000 0.367 0.750
Ir2 Ir 0.248 0.298 0.243
Ru1 Ru 0.234 0.030 0.632
# DOS(E_F) = 7.35 states/eV/f.u.


--- two ---
# PBE-GGA FeIr3Ru2, relaxed
data_FeIr3Ru2
_cell_length_a 5.396
_cell_length_b 3.810
_cell_length_c 8.109
_cell_angle_alpha 90.00
_cell_angle_beta 90.23
_cell_angle_gamma 90.00
_symmetry_space_group_name_H-M 'P 1 21/m 1'
_symmetry_Int_Tables_number 11
_symmetry_space_group_name_Hall '-P 2yb'
loop_
_atom_site_label
_atom_site_type_symbol
_atom_site_fract_x
_atom_site_fract_y
_atom_site_fract_z
Fe1 Fe 0.129 0.250 0.251
Ir1 Ir 0.122 0.250 0.915
Ir2 Ir 0.369 0.750 0.416
Ir3 Ir 0.375 0.750 0.752
Ru1 Ru 0.121 0.250 0.582
Ru2 Ru 0.375 0.750 0.081
# DOS(E_F) = 5.99 states/eV/f.u.


Which of them is most stable, and which least? Most stable: two; least stable: one.


--- one ---
# PBE-GGA Fe2Ir7Ru2, relaxed
data_Fe2Ir7Ru2
_cell_length_a 9.238
_cell_length_b 7.886
_cell_length_c 4.676
_cell_angle_alpha 90.00
_cell_angle_beta 99.31
_cell_angle_gamma 90.00
_symmetry_space_group_name_H-M 'C 1 2/m 1'
_symmetry_Int_Tables_number 12
_symmetry_space_group_name_Hall '-C 2y'
loop_
_atom_site_label
_atom_site_type_symbol
_atom_site_fract_x
_atom_site_fract_y
_atom_site_fract_z
Fe1 Fe 0.000 0.187 0.000
Ir1 Ir 0.000 0.000 0.500
Ir2 Ir 0.043 0.500 0.269
Ir3 Ir 0.224 0.179 0.743
Ru1 Ru 0.236 0.000 0.244
# DOS(E_F) = 12.07 states/eV/f.u.


--- two ---
# PBE-GGA Fe2Ir7Ru2, relaxed
data_Fe2Ir7Ru2
_cell_length_a 9.669
_cell_length_b 5.319
_cell_length_c 7.167
_cell_angle_alpha 90.00
_cell_angle_beta 117.07
_cell_angle_gamma 90.00
_symmetry_space_group_name_H-M 'C 1 2/m 1'
_symmetry_Int_Tables_number 12
_symmetry_space_group_name_Hall '-C 2y'
loop_
_atom_site_label
_atom_site_type_symbol
_atom_site_fract_x
_atom_site_fract_y
_atom_site_fract_z
Fe1 Fe 0.000 0.247 0.000
Ir1 Ir 0.000 0.500 0.500
Ir2 Ir 0.014 0.000 0.323
Ir3 Ir 0.248 0.240 0.681
Ru1 Ru 0.216 0.500 0.972
# DOS(E_F) = 14.54 states/eV/f.u.


Which of them is most stable, and which least? Most stable: one; least stable: two.


--- one ---
# PBE-GGA FeIr6Ru2, relaxed
data_FeIr6Ru2
_cell_length_a 5.2972
_cell_length_b 5.2972
_cell_length_c 17.7202
_cell_angle_alpha 90.00
_cell_angle_beta 90.00
_cell_angle_gamma 120.00
_symmetry_space_group_name_H-M 'R 3 m'
_symmetry_Int_Tables_number 160
_symmetry_space_group_name_Hall 'R 3 -2"'
loop_
_atom_site_label
_atom_site_type_symbol
_atom_site_fract_x
_atom_site_fract_y
_atom_site_fract_z
Fe1 Fe 0.0000 0.0000 0.0000
Ir1 Ir 0.1699 0.3397 0.8958
Ir2 Ir 0.1735 0.3470 0.1073
Ru1 Ru 0.0000 0.0000 0.6082
Ru2 Ru 0.0000 0.0000 0.7354
# DOS(E_F) = 9.81 states/eV/f.u.


--- two ---
# PBE-GGA FeIr6Ru2, relaxed
data_FeIr6Ru2
_cell_length_a 11.508
_cell_length_b 3.838
_cell_length_c 6.064
_cell_angle_alpha 90.00
_cell_angle_beta 108.42
_cell_angle_gamma 90.00
_symmetry_space_group_name_H-M 'C 1 2/m 1'
_symmetry_Int_Tables_number 12
_symmetry_space_group_name_Hall '-C 2y'
loop_
_atom_site_label
_atom_site_type_symbol
_atom_site_fract_x
_atom_site_fract_y
_atom_site_fract_z
Fe1 Fe 0.000 0.000 0.000
Ir1 Ir 0.108 0.000 0.665
Ir2 Ir 0.164 0.500 0.999
Ir3 Ir 0.219 0.000 0.333
Ru1 Ru 0.056 0.500 0.333
# DOS(E_F) = 8.72 states/eV/f.u.


Which of them is most stable, and which least? Most stable: two; least stable: one.